No. 1
DFT (PBE) results for LaTl2Ru after structural relaxation.

The space group is R-3m (No. 166, hexagonal axes) and the conventional cell measures 3.4509, 3.4509 and 28.8661 Å, with angles of 90.00, 90.00 and 120.00 degrees. Symmetry generates all atoms from La at (0.0000, 0.0000, 0.0000), Tl at (0.0000, 0.0000, 0.2359) and Ru at (0.0000, 0.0000, 0.5000).

For the formation energy, the calculation gives 278 meV/atom. Its magnetic moment is 0.14 μB/f.u.

---

No. 2
DFT (PBE) results for LaTl2Ru after structural relaxation.

The space group is P2_1/m (No. 11) and the conventional cell measures 4.3138, 9.0598 and 5.4824 Å, with angles of 90.00, 113.12 and 90.00 degrees. Symmetry generates all atoms from La at (0.0536, 0.2500, 0.1105), Tl at (0.3518, 0.0454, 0.7032) and Ru at (0.1970, 0.7500, 0.3962).

For the formation energy, the calculation gives -160 meV/atom. Its magnetic moment is 0.00 μB/f.u.

---

No. 3
DFT (PBE) results for La5TlRu2 after structural relaxation.

The space group is I4/mcm (No. 140) and the conventional cell measures 8.0192, 8.0192 and 14.5590 Å, with angles of 90.00, 90.00 and 90.00 degrees. Symmetry generates all atoms from La at (0.0000, 0.0000, 0.0000), La at (0.1637, 0.3363, 0.1284), Tl at (0.0000, 0.0000, 0.2500) and Ru at (0.1416, 0.3584, 0.5000).

For the formation energy, the calculation gives -347 meV/atom. Its magnetic moment is 0.00 μB/f.u.

---

No. 4
DFT (PBE) results for LaTlRu2 after structural relaxation.

The space group is P4/mmm (No. 123) and the conventional cell measures 3.4788, 3.4788 and 6.5991 Å, with angles of 90.00, 90.00 and 90.00 degrees. Symmetry generates all atoms from La at (0.0000, 0.0000, 0.0000), Tl at (0.0000, 0.0000, 0.5000) and Ru at (0.5000, 0.5000, 0.2673).

For the formation energy, the calculation gives 263 meV/atom. Its magnetic moment is 0.00 μB/f.u.

---

No. 5
DFT (PBE) results for La2TlRu after structural relaxation.

The space group is Imm2 (No. 44) and the conventional cell measures 3.5517, 4.9712 and 12.4216 Å, with angles of 90.00, 90.00 and 90.00 degrees. Symmetry generates all atoms from La at (0.0000, 0.0000, 0.0000), La at (0.0000, 0.5000, 0.1967), Tl at (0.0000, 0.0000, 0.3824) and Ru at (0.0000, 0.5000, 0.6940).

For the formation energy, the calculation gives -175 meV/atom. Its magnetic moment is 0.00 μB/f.u.

---

No. 6
DFT (PBE) results for La2TlRu after structural relaxation.

The space group is Amm2 (No. 38) and the conventional cell measures 3.9832, 4.8995 and 11.5445 Å, with angles of 90.00, 90.00 and 90.00 degrees. Symmetry generates all atoms from La at (0.0000, 0.0000, 0.0000), La at (0.5000, 0.0000, 0.3087), Tl at (0.5000, 0.0000, 0.6054) and Ru at (0.0000, 0.0000, 0.7926).

For the formation energy, the calculation gives -308 meV/atom. Its magnetic moment is 0.00 μB/f.u.

---

No. 7
DFT (PBE) results for La6TlRu2 after structural relaxation.

The space group is C2/m (No. 12) and the conventional cell measures 10.8844, 5.2209 and 9.4466 Å, with angles of 90.00, 97.42 and 90.00 degrees. Symmetry generates all atoms from La at (0.0777, 0.0000, 0.3543), La at (0.1139, 0.5000, 0.6620), La at (0.1986, 0.5000, 0.1173), Tl at (0.0000, 0.0000, 0.0000) and Ru at (0.2311, 0.5000, 0.3839).

For the formation energy, the calculation gives -276 meV/atom. Its magnetic moment is 0.00 μB/f.u.

---

No. 8
DFT (PBE) results for La8Tl2Ru3 after structural relaxation.

The space group is P2/m (No. 10) and the conventional cell measures 8.6255, 5.5493 and 8.8992 Å, with angles of 90.00, 111.09 and 90.00 degrees. Symmetry generates all atoms from La at (0.1106, 0.0000, 0.3426), La at (0.2215, 0.5000, 0.1277), La at (0.2414, 0.5000, 0.6019), La at (0.2795, 0.0000, 0.9184), Tl at (0.4980, 0.0000, 0.6745), Ru at (0.0000, 0.0000, 0.0000) and Ru at (0.0491, 0.5000, 0.7742).

For the formation energy, the calculation gives -240 meV/atom. Its magnetic moment is 0.00 μB/f.u.

---

No. 9
DFT (PBE) results for La6Tl2Ru after structural relaxation.

The space group is Amm2 (No. 38) and the conventional cell measures 3.9959, 15.6770 and 9.0434 Å, with angles of 90.00, 90.00 and 90.00 degrees. Symmetry generates all atoms from La at (0.0000, 0.0000, 0.0000), La at (0.0000, 0.1169, 0.6498), La at (0.5000, 0.0000, 0.3684), La at (0.5000, 0.1989, 0.9657), Tl at (0.0000, 0.1667, 0.2667) and Ru at (0.5000, 0.0000, 0.7644).

For the formation energy, the calculation gives -311 meV/atom. Its magnetic moment is 0.00 μB/f.u.

---

No. 10
DFT (PBE) results for La2TlRu after structural relaxation.

The space group is R3m (No. 160, hexagonal axes) and the conventional cell measures 4.1466, 4.1466 and 24.9056 Å, with angles of 90.00, 90.00 and 120.00 degrees. Symmetry generates all atoms from La at (0.0000, 0.0000, 0.0000), La at (0.0000, 0.0000, 0.2090), Tl at (0.0000, 0.0000, 0.4380) and Ru at (0.0000, 0.0000, 0.6037).

For the formation energy, the calculation gives -244 meV/atom. Its magnetic moment is 0.00 μB/f.u.

---

No. 11
DFT (PBE) results for LaTlRu2 after structural relaxation.

The space group is P4/mmm (No. 123) and the conventional cell measures 4.7232, 4.7232 and 3.5500 Å, with angles of 90.00, 90.00 and 90.00 degrees. Symmetry generates all atoms from La at (0.0000, 0.0000, 0.0000), Tl at (0.5000, 0.5000, 0.0000) and Ru at (0.0000, 0.5000, 0.5000).

For the formation energy, the calculation gives 156 meV/atom. Its magnetic moment is 0.00 μB/f.u.

---

No. 12
DFT (PBE) results for La7TlRu2 after structural relaxation.

The space group is Cmmm (No. 65) and the conventional cell measures 9.5464, 14.0692 and 5.2467 Å, with angles of 90.00, 90.00 and 90.00 degrees. Symmetry generates all atoms from La at (0.0000, 0.0000, 0.0000), La at (0.0000, 0.2101, 0.5000), La at (0.1799, 0.3707, 0.0000), Tl at (0.0000, 0.5000, 0.5000) and Ru at (0.0000, 0.1916, 0.0000).

For the formation energy, the calculation gives -160 meV/atom. Its magnetic moment is 0.00 μB/f.u.